The following is a PBE calculation of crystalline KZnC3 at its relaxed geometry, from the Alexandria database.

abc: 5.5343 5.5343 5.5343
angles: 90.00 90.00 90.00
Closest atoms and distances in Å follow each position.
Positions (direct):
K  0.0000  0.0000  0.0000  6 C 2.77
Zn  0.5000  0.5000  0.5000  12 C 3.91
C  0.0000  0.0000  0.5000  2 K 2.77
C  0.0000  0.5000  0.0000  2 K 2.77
C  0.5000  0.0000  0.0000  2 K 2.77

Values from the calculation:
Its energy above the lowest structure with this stoichiometry is 1410 meV/atom. The space group is Pm-3m (221). Its energy of formation from the pure elements is 4.100 eV/atom. The volume comes out at 169.5 Å³ per cell. As for the energy: -1.908 eV/atom.

The following is a PBE calculation of crystalline KZnC3 at its relaxed geometry, from the Alexandria database.

abc: 4.1901 4.1901 4.1901
angles: 90.00 90.00 90.00
Closest atoms and distances in Å follow each position.
Positions (direct):
K  0.0000  0.0000  0.0000  12 C 2.96
Zn  0.5000  0.5000  0.5000  6 C 2.10
C  0.0000  0.5000  0.5000  2 Zn 2.10
C  0.5000  0.0000  0.5000  2 Zn 2.10
C  0.5000  0.5000  0.0000  2 Zn 2.10

Values from the calculation:
Its energy above the lowest structure with this stoichiometry is 0 meV/atom. The space group is Pm-3m (221). Its energy of formation from the pure elements is 2.690 eV/atom. The volume comes out at 73.6 Å³ per cell. As for the energy: -3.318 eV/atom.

The following is a PBE calculation of crystalline KZrC2 at its relaxed geometry, from the Alexandria database.

abc: 7.4256 7.4256 7.4256
angles: 135.77 135.77 64.34
Closest atoms and distances in Å follow each position.
Positions (direct):
K  0.0000  0.0000  0.0000  4 C 3.12
K  0.7500  0.2500  0.5000  4 C 3.12
Zr  0.2500  0.7500  0.5000  4 C 2.16
Zr  0.5000  0.5000  0.0000  4 C 2.16
C  0.2868  0.6250  0.1618  2 Zr 2.16
C  0.3750  0.5368  0.6618  2 Zr 2.16
C  0.4632  0.1250  0.8382  2 Zr 2.16
C  0.8750  0.7132  0.3382  2 Zr 2.16

Values from the calculation:
Its energy above the lowest structure with this stoichiometry is 0 meV/atom. The space group is I-42d (122). Its energy of formation from the pure elements is 1.158 eV/atom. The volume comes out at 196.5 Å³ per cell. As for the energy: -5.866 eV/atom.

The following is a PBE calculation of crystalline KZr2C at its relaxed geometry, from the Alexandria database.

abc: 7.0458 7.0458 7.0458
angles: 120.06 120.06 89.90
Closest atoms and distances in Å follow each position.
Positions (direct):
K  0.0000  0.0000  0.0000  12 Zr 4.12-4.14, 4 K 4.31, 4 C 4.31
K  0.7500  0.2500  0.5000  12 Zr 4.12-4.14, 4 C 4.31, 4 K 4.31
Zr  0.3738  0.6250  0.2488  2 C 2.16
Zr  0.3750  0.6238  0.7488  2 C 2.16
Zr  0.3762  0.1250  0.7512  2 C 2.16
Zr  0.8750  0.6262  0.2512  2 C 2.16
C  0.2500  0.7500  0.5000  4 Zr 2.16
C  0.5000  0.5000  0.0000  4 Zr 2.16

Values from the calculation:
The space group is I-42d (122). Its energy of formation from the pure elements is 0.603 eV/atom. The volume comes out at 247.1 Å³ per cell. As for the energy: -6.251 eV/atom.

The following is a PBE calculation of crystalline KZrC3 at its relaxed geometry, from the Alexandria database.

abc: 4.1130 4.1130 4.1130
angles: 90.00 90.00 90.00
Closest atoms and distances in Å follow each position.
Positions (direct):
K  0.0000  0.0000  0.0000  6 C 2.06
Zr  0.5000  0.5000  0.5000  12 C 2.91
C  0.0000  0.0000  0.5000  2 K 2.06
C  0.0000  0.5000  0.0000  2 K 2.06
C  0.5000  0.0000  0.0000  2 K 2.06

Values from the calculation:
Its energy above the lowest structure with this stoichiometry is 1660 meV/atom. The space group is Pm-3m (221). Its energy of formation from the pure elements is 3.408 eV/atom. The volume comes out at 69.6 Å³ per cell. As for the energy: -4.056 eV/atom.

The following is a PBE calculation of crystalline KZrC2 at its relaxed geometry, from the Alexandria database.

abc: 4.3337 4.3337 4.3337
angles: 60.00 60.00 60.00
Closest atoms and distances in Å follow each position.
Positions (direct):
K  0.0000  0.0000  0.0000  8 C 2.65
Zr  0.5000  0.5000  0.5000  8 C 2.65
C  0.2500  0.2500  0.2500  4 Zr 2.65, 4 K 2.65
C  0.7500  0.7500  0.7500  4 Zr 2.65, 4 K 2.65

Values from the calculation:
Its energy above the lowest structure with this stoichiometry is 606 meV/atom. The space group is Fm-3m (225). Its energy of formation from the pure elements is 1.763 eV/atom. The volume comes out at 57.6 Å³ per cell. As for the energy: -5.260 eV/atom.

The following is a PBE calculation of crystalline KZrC3 at its relaxed geometry, from the Alexandria database.

abc: 4.4707 4.4707 4.4707
angles: 90.00 90.00 90.00
Closest atoms and distances in Å follow each position.
Positions (direct):
K  0.0000  0.0000  0.0000  12 C 3.16
Zr  0.5000  0.5000  0.5000  6 C 2.24
C  0.0000  0.5000  0.5000  2 Zr 2.24
C  0.5000  0.0000  0.5000  2 Zr 2.24
C  0.5000  0.5000  0.0000  2 Zr 2.24

Values from the calculation:
Its energy above the lowest structure with this stoichiometry is 0 meV/atom. The space group is Pm-3m (221). Its energy of formation from the pure elements is 1.748 eV/atom. The volume comes out at 89.4 Å³ per cell. As for the energy: -5.715 eV/atom.

The following is a PBE calculation of crystalline LaC at its relaxed geometry, from the Alexandria database.

abc: 3.7251 3.7251 3.2694
angles: 90.00 90.00 120.00
Closest atoms and distances in Å follow each position.
Positions (direct):
La  0.0000  0.0000  0.0000  6 C 2.70
C  0.6667  0.3333  0.5000  6 La 2.70

Values from the calculation:
Its energy above the lowest structure with this stoichiometry is 735 meV/atom. The space group is P-6m2 (187). Its energy of formation from the pure elements is 0.558 eV/atom. The volume comes out at 39.3 Å³ per cell. As for the energy: -6.517 eV/atom.

The following is a PBE calculation of crystalline LaC2 at its relaxed geometry, from the Alexandria database.

abc: 4.3167 4.3110 3.9528
angles: 62.81 62.66 54.54
Closest atoms and distances in Å follow each position.
Positions (direct):
La  0.0000  0.0000  0.0000  10 C 2.64-2.87
C  0.4013  0.4013  0.5987  1 C 1.30
C  0.5987  0.5987  0.4013  1 C 1.30

Values from the calculation:
Its energy above the lowest structure with this stoichiometry is 10 meV/atom. The space group is Fmmm (69). Its energy of formation from the pure elements is -0.158 eV/atom. The volume comes out at 51.3 Å³ per cell. As for the energy: -7.950 eV/atom.

The following is a PBE calculation of crystalline LaC2 at its relaxed geometry, from the Alexandria database.

abc: 4.1599 4.1599 4.1599
angles: 122.35 108.27 98.71
Closest atoms and distances in Å follow each position.
Positions (direct):
La  0.0000  0.0000  0.0000  8 C 2.69-2.79
C  0.3668  0.5000  0.8668  1 C 1.30
C  0.6332  0.5000  0.1332  1 C 1.30

Values from the calculation:
Its energy above the lowest structure with this stoichiometry is 60 meV/atom. The space group is Immm (71). Its energy of formation from the pure elements is -0.108 eV/atom. The volume comes out at 53.0 Å³ per cell. As for the energy: -7.900 eV/atom.

The following is a PBE calculation of crystalline LaC at its relaxed geometry, from the Alexandria database.

abc: 4.3549 4.3549 6.7763
angles: 93.18 93.18 51.65
Closest atoms and distances in Å follow each position.
Positions (direct):
La  0.1333  0.1333  0.2869  3 C 2.46-2.64
La  0.8667  0.8667  0.7131  3 C 2.46-2.64
C  0.4207  0.4207  0.4535  1 C 1.36
C  0.5793  0.5793  0.5465  1 C 1.36

Values from the calculation:
Its energy above the lowest structure with this stoichiometry is 1 meV/atom. The space group is C2/m (12). Its energy of formation from the pure elements is -0.176 eV/atom. The volume comes out at 100.6 Å³ per cell. As for the energy: -7.251 eV/atom.

The following is a PBE calculation of crystalline LaC at its relaxed geometry, from the Alexandria database.

abc: 10.4683 10.4683 4.4693
angles: 90.00 90.00 90.00
Closest atoms and distances in Å follow each position.
Positions (direct):
La  0.1075  0.3492  0.0000  4 C 2.46-2.54
La  0.2180  0.6106  0.5000  4 C 2.41-2.55
La  0.3492  0.8925  0.0000  4 C 2.46-2.54
La  0.3894  0.2180  0.5000  4 C 2.41-2.55
La  0.6106  0.7820  0.5000  4 C 2.41-2.55
La  0.6508  0.1075  0.0000  4 C 2.46-2.54
La  0.7820  0.3894  0.5000  4 C 2.41-2.55
La  0.8925  0.6508  0.0000  4 C 2.46-2.54
C  0.1200  0.5912  0.0000  4 La 2.46-2.54
C  0.2147  0.3674  0.5000  4 La 2.41-2.55
C  0.3674  0.7853  0.5000  4 La 2.41-2.55
C  0.4088  0.1200  0.0000  4 La 2.46-2.54
C  0.5912  0.8800  0.0000  4 La 2.46-2.54
C  0.6326  0.2147  0.5000  4 La 2.41-2.55
C  0.7853  0.6326  0.5000  4 La 2.41-2.55
C  0.8800  0.4088  0.0000  4 La 2.46-2.54

Values from the calculation:
Its energy above the lowest structure with this stoichiometry is 772 meV/atom. The space group is P4/m (83). Its energy of formation from the pure elements is 0.595 eV/atom. The volume comes out at 489.8 Å³ per cell. As for the energy: -6.481 eV/atom.